No. 1
ZrAl2Ir | PBE | optimized geometry

Calculated values
Formation enthalpy at 0 K   -0.371 eV per atom
Crystal system   monoclinic
E   -6.594 eV per atom

Cell lengths 5.549, 8.709, 2.868 Å; angles 90.00, 105.14, 90.00 degrees
Space group C2/m (No. 12)
Asymmetric unit:
Zr 0.000 0.000 0.000 (multiplicity 2)
Al 0.250 0.250 0.500 (multiplicity 4)
Ir 0.000 0.500 0.000 (multiplicity 2)

---

No. 2
ZrAl2Ir | PBE | optimized geometry

Calculated values
Formation enthalpy at 0 K   -0.570 eV per atom
Crystal system   monoclinic
E   -6.794 eV per atom

Cell lengths 3.072, 4.361, 5.196 Å; angles 90.00, 97.11, 90.00 degrees
Space group P2/m (No. 10)
Asymmetric unit:
Zr 0.000 0.000 0.000 (multiplicity 1)
Al 0.402 0.500 0.742 (multiplicity 2)
Ir 0.500 0.000 0.500 (multiplicity 1)

---

No. 3
KAl3 | PBE | optimized geometry

Calculated values
Formation enthalpy at 0 K   0.208 eV per atom
Crystal system   hexagonal
E   -2.873 eV per atom

Cell lengths 7.6129, 7.6129, 4.6919 Å; angles 90.00, 90.00, 120.00 degrees
Space group P6_3/mmc (No. 194)
Asymmetric unit:
K 0.3333 0.6667 0.2500 (multiplicity 2)
Al 0.1180 0.2360 0.7500 (multiplicity 6)

---

No. 4
KAl2 | PBE | optimized geometry

Calculated values
Excess energy over the best structure of this formula in the dataset   821 meV/atom
Formation enthalpy at 0 K   0.991 eV per atom
Crystal system   tetragonal
E   -1.870 eV per atom

Cell lengths 6.306, 6.306, 2.948 Å; angles 90.00, 90.00, 90.00 degrees
Space group P4/mmm (No. 123)
Asymmetric unit:
K 0.000 0.000 0.000 (multiplicity 1)
Al 0.000 0.500 0.500 (multiplicity 2)

---

No. 5
KAl3 | PBE | optimized geometry

Calculated values
Formation enthalpy at 0 K   0.368 eV per atom
Crystal system   orthorhombic
E   -2.713 eV per atom

Cell lengths 2.851, 6.127, 11.209 Å; angles 90.00, 90.00, 90.00 degrees
Space group Immm (No. 71)
Asymmetric unit:
K 0.000 0.000 0.000 (multiplicity 2)
Al 0.000 0.000 0.500 (multiplicity 2)
Al 0.000 0.500 0.210 (multiplicity 4)

---

No. 6
KAl2 | PBE | optimized geometry

Calculated values
Excess energy over the best structure of this formula in the dataset   41 meV/atom
Formation enthalpy at 0 K   0.211 eV per atom
Crystal system   orthorhombic
E   -2.650 eV per atom

Cell lengths 3.009, 4.254, 12.565 Å; angles 90.00, 90.00, 90.00 degrees
Space group Immm (No. 71)
Asymmetric unit:
K 0.000 0.000 0.000 (multiplicity 2)
Al 0.000 0.000 0.288 (multiplicity 4)

---

No. 7
K3Al | PBE | optimized geometry

Calculated values
Excess energy over the best structure of this formula in the dataset   151 meV/atom
Formation enthalpy at 0 K   0.292 eV per atom
Crystal system   orthorhombic
E   -1.467 eV per atom

Cell lengths 6.488, 8.142, 7.020 Å; angles 90.00, 90.00, 90.00 degrees
Space group Pmmn (No. 59, origin choice 2)
Asymmetric unit:
K 0.250 0.004 0.176 (multiplicity 4)
K 0.250 0.750 0.624 (multiplicity 2)
Al 0.250 0.250 0.686 (multiplicity 2)

---

No. 8
K3Al | PBE | optimized geometry

Calculated values
Excess energy over the best structure of this formula in the dataset   0 meV/atom
Formation enthalpy at 0 K   0.141 eV per atom
Crystal system   orthorhombic
E   -1.618 eV per atom

Cell lengths 10.423, 17.848, 4.610 Å; angles 90.00, 90.00, 90.00 degrees
Space group Cmcm (No. 63)
Asymmetric unit:
K 0.000 0.216 0.250 (multiplicity 4)
K 0.213 0.407 0.750 (multiplicity 8)
Al 0.000 0.031 0.750 (multiplicity 4)